The following is a PBE calculation of a geometry-optimized TaV3I structure, from Alexandria via LeMat-Bulk.

Output
Uncorrected formation energy ... 1566 meV per atom
Symmetry ... No. 221
Total magnetization ... 0.0 μB per formula unit
Density of states at the Fermi level ... 0.8907 states/eV per atom
Offset from the most stable computed form ... 0 meV/atom

Cell lengths 4.749, 4.749, 4.749 Å; angles 90.00, 90.00, 90.00 degrees
Sites, in units of the cell vectors:
Ta (0.000, 0.000, 0.000)
V (0.000, 0.000, 0.500)
V (0.000, 0.500, 0.000)
V (0.500, 0.000, 0.000)
I (0.500, 0.500, 0.500)